No. 1
Here is a relaxed Na2SF crystal from Alexandria via LeMat-Bulk. Energies are from PBE.

Mass density = 2.1 g/cm³
Uncorrected formation energy = -1.317 eV/atom
V = 76.15 Å³/cell

abc: 3.361 3.361 8.020
angles: 77.90 77.90 60.00
Each line ends with the local moment (μB).
Fractional positions:
Na1 0.109 0.109 0.674  0.00
Na2 0.891 0.891 0.326  0.00
S1 0.000 0.000 0.000  0.14
F1 0.500 0.500 0.500  0.00

---

No. 2
Here is a relaxed Ca3HPd crystal from Alexandria via LeMat-Bulk. Energies are from PBE.

Mass density = 3.1 g/cm³
Final energy = -3.33 eV per atom
V = 244.64 Å³/cell

abc: 3.894 7.607 8.394
angles: 100.29 90.00 90.00
Fractional positions:
Ca1 0.750 0.613 0.372
Ca2 0.250 0.387 0.628
Ca3 0.750 0.277 0.970
Ca4 0.250 0.923 0.672
Ca5 0.250 0.723 0.030
Ca6 0.750 0.077 0.328
H1 0.250 0.867 0.376
H2 0.750 0.133 0.624
Pd1 0.250 0.341 0.242
Pd2 0.750 0.659 0.758

---

Number 1: total magnetic moment 0.207 Bohr magnetons per cell. Number 2: total magnetic moment 0.000 Bohr magnetons per cell.